1.
Compound: AlW2
Source: the Alexandria database
Functional: meta-GGA SCAN
Structure: single point on PBEsol structure

Cell and atoms, written as POSCAR:
```
AlW2
1.0
2.709 0.000 0.000
0.000 4.424 0.000
0.000 -2.212 3.831
Al W
1 2
direct
0.000 0.000 0.000 Al
0.634 0.667 0.333 W
0.366 0.333 0.667 W
```

Results
final energy	-147.340	eV per cell
space-group type	P-3m1, No. 164
magnetization	0.000	μB/cell
formation enthalpy at 0 K	-71	meV per atom

***

2.
Compound: Al3W
Source: the Alexandria database
Functional: meta-GGA SCAN
Structure: single point on PBEsol structure

Cell and atoms, written as POSCAR:
```
Al3W
1.0
-1.185 3.418 1.044
-0.542 -1.259 3.507
8.749 1.049 -0.293
Al W
6 2
direct
0.000 0.500 0.000 Al
0.500 0.000 0.000 Al
0.750 0.250 0.500 Al
0.250 0.750 0.500 Al
0.881 0.881 0.762 Al
0.119 0.119 0.238 Al
0.630 0.630 0.260 W
0.370 0.370 0.740 W
```

Results
final energy	-186.358	eV per cell
space-group type	I4/mmm, No. 139
magnetization	0.000	μB/cell
formation enthalpy at 0 K	-59	meV per atom

***

3.
Compound: AlW3
Source: the Alexandria database
Functional: meta-GGA SCAN
Structure: single point on PBEsol structure

Cell and atoms, written as POSCAR:
```
AlW3
1.0
2.735 -0.002 0.000
-0.891 2.586 0.000
0.000 0.000 8.711
Al W
1 3
direct
0.000 0.000 0.000 Al
0.500 0.500 0.753 W
0.000 0.000 0.500 W
0.500 0.500 0.247 W
```

Results
final energy	-216.850	eV per cell
space-group type	Cmmm, No. 65
magnetization	0.000	μB/cell
formation enthalpy at 0 K	-9	meV per atom

***

Question: The highest formation enthalpy at 0 K belongs to which entry?
Answer: AlW3